CaReP2Cl: relaxed, PBE-GGA.

The energy relative to the elements, uncorrected comes out at 1.362 eV per atom. As for the symmetry: P4/mmm (123). The polymorph energy (0 for the lowest one) is 8.21 eV/f.u. The value obtained for the magnetic moment is 3.7 μB per formula unit.

abc: 5.3056 5.3056 4.9532
angles: 90.00 90.00 90.00
With the nearest neighbours (Å) after each atom.
Fractional positions:
Cl: 0.0000 0.0000 0.5000  2 Ca 2.48
P: 0.0000 0.5000 0.0000  2 Ca 2.65
P: 0.5000 0.0000 0.0000  2 Ca 2.65
Re: 0.5000 0.5000 0.5000  8 P 3.63, 4 Cl 3.75
Ca: 0.0000 0.0000 0.0000  2 Cl 2.48, 4 P 2.65

CaReP2Cl: relaxed, PBE-GGA.

The energy relative to the elements, uncorrected comes out at -0.280 eV per atom. As for the symmetry: P4/mmm (123). The polymorph energy (0 for the lowest one) is 0.00 eV/f.u. The value obtained for the magnetic moment is 0.0 μB per formula unit.

abc: 4.5841 4.5841 5.2443
angles: 90.00 90.00 90.00
With the nearest neighbours (Å) after each atom.
Fractional positions:
P: 0.5000 0.0000 0.0000  2 Re 2.29
P: 0.0000 0.5000 0.0000  2 Re 2.29
Ca: 0.5000 0.5000 0.5000  4 Cl 3.24, 8 P 3.48
Cl: 0.0000 0.0000 0.5000  2 Re 2.62
Re: 0.0000 0.0000 0.0000  4 P 2.29

CaP2RhCl: relaxed, PBE-GGA.

The energy relative to the elements, uncorrected comes out at -0.371 eV per atom. As for the symmetry: P4/mmm (123). The polymorph energy (0 for the lowest one) is 0.00 eV/f.u. The value obtained for the magnetic moment is 0.0 μB per formula unit.

abc: 4.5185 4.5185 5.4622
angles: 90.00 90.00 90.00
With the nearest neighbours (Å) after each atom.
Fractional positions:
Rh: 0.0000 0.0000 0.0000  4 P 2.26
P: 0.5000 0.0000 0.0000  2 Rh 2.26
P: 0.0000 0.5000 0.0000  2 Rh 2.26
Cl: 0.0000 0.0000 0.5000  2 Rh 2.73
Ca: 0.5000 0.5000 0.5000  4 Cl 3.20, 8 P 3.54

CaP2RhCl: relaxed, PBE-GGA.

The energy relative to the elements, uncorrected comes out at 0.998 eV per atom. As for the symmetry: P4/mmm (123). The polymorph energy (0 for the lowest one) is 6.85 eV/f.u. The value obtained for the magnetic moment is 0.5 μB per formula unit.

abc: 5.3317 5.3317 4.9531
angles: 90.00 90.00 90.00
With the nearest neighbours (Å) after each atom.
Fractional positions:
Rh: 0.5000 0.5000 0.5000  8 P 3.64, 4 Cl 3.77
P: 0.0000 0.5000 0.0000  2 Ca 2.67
P: 0.5000 0.0000 0.0000  2 Ca 2.67
Cl: 0.0000 0.0000 0.5000  2 Ca 2.48
Ca: 0.0000 0.0000 0.0000  2 Cl 2.48, 4 P 2.67

CaPRu2Cl: relaxed, PBE-GGA.

The energy relative to the elements, uncorrected comes out at 0.605 eV per atom. As for the symmetry: P4/mmm (123). The value obtained for the magnetic moment is 0.0 μB per formula unit.

abc: 4.3824 5.0230 4.3824
angles: 90.00 90.00 90.00
With the nearest neighbours (Å) after each atom.
Fractional positions:
Ru: 0.5000 0.0000 0.0000  2 Cl 2.19
Ru: 0.0000 0.0000 0.5000  2 Cl 2.19
P: 0.5000 0.5000 0.5000  4 Ca 3.10, 8 Ru 3.33
Ca: 0.0000 0.5000 0.0000  2 Cl 2.51
Cl: 0.0000 0.0000 0.0000  4 Ru 2.19

CaPRuCl2: relaxed, PBE-GGA.

The energy relative to the elements, uncorrected comes out at 0.344 eV per atom. As for the symmetry: P4/mmm (123). The polymorph energy (0 for the lowest one) is 4.49 eV/f.u. The value obtained for the magnetic moment is 4.5 μB per formula unit.

abc: 5.0255 5.0255 5.8767
angles: 90.00 90.00 90.00
With the nearest neighbours (Å) after each atom.
Fractional positions:
Cl: 0.5000 0.0000 0.0000  2 Ca 2.51
Cl: 0.0000 0.5000 0.0000  2 Ca 2.51
P: 0.0000 0.0000 0.5000  2 Ca 2.94
Ru: 0.5000 0.5000 0.5000  4 P 3.55, 8 Cl 3.87
Ca: 0.0000 0.0000 0.0000  4 Cl 2.51

CaPRuCl2: relaxed, PBE-GGA.

The energy relative to the elements, uncorrected comes out at -0.553 eV per atom. As for the symmetry: P4/mmm (123). The polymorph energy (0 for the lowest one) is 0.00 eV/f.u. The value obtained for the magnetic moment is 0.0 μB per formula unit.

abc: 4.9770 4.9770 4.5048
angles: 90.00 90.00 90.00
With the nearest neighbours (Å) after each atom.
Fractional positions:
Cl: 0.5000 0.0000 0.0000  2 Ru 2.49
Cl: 0.0000 0.5000 0.0000  2 Ru 2.49
Ca: 0.5000 0.5000 0.5000  8 Cl 3.36, 4 P 3.52
Ru: 0.0000 0.0000 0.0000  2 P 2.25, 4 Cl 2.49
P: 0.0000 0.0000 0.5000  2 Ru 2.25

CaP2SCl: relaxed, PBE-GGA.

The energy relative to the elements, uncorrected comes out at -0.119 eV per atom. As for the symmetry: P4/mmm (123). The polymorph energy (0 for the lowest one) is 0.00 eV/f.u. The value obtained for the magnetic moment is 0.0 μB per formula unit.

abc: 4.3990 4.3990 6.1774
angles: 90.00 90.00 90.00
With the nearest neighbours (Å) after each atom.
Fractional positions:
Cl: 0.0000 0.0000 0.5000  2 S 3.09, 4 Ca 3.11
Ca: 0.5000 0.5000 0.5000  4 Cl 3.11
P: 0.5000 0.0000 0.0000  2 S 2.20
P: 0.0000 0.5000 0.0000  2 S 2.20
S: 0.0000 0.0000 0.0000  4 P 2.20

CaP2SCl: relaxed, PBE-GGA.

The energy relative to the elements, uncorrected comes out at 0.760 eV per atom. As for the symmetry: P4/mmm (123). The polymorph energy (0 for the lowest one) is 4.39 eV/f.u. The value obtained for the magnetic moment is 1.3 μB per formula unit.

abc: 5.5717 5.5717 4.9830
angles: 90.00 90.00 90.00
With the nearest neighbours (Å) after each atom.
Fractional positions:
P: 0.0000 0.5000 0.0000  2 Ca 2.79
P: 0.5000 0.0000 0.0000  2 Ca 2.79
Ca: 0.0000 0.0000 0.0000  2 Cl 2.49, 4 P 2.79
S: 0.5000 0.5000 0.5000  8 P 3.74, 4 Cl 3.94
Cl: 0.0000 0.0000 0.5000  2 Ca 2.49

Ca2PSCl: relaxed, PBE-GGA.

The energy relative to the elements, uncorrected comes out at -0.963 eV per atom. As for the symmetry: P4/mmm (123). The value obtained for the magnetic moment is 0.0 μB per formula unit.

abc: 5.4361 4.6375 5.4361
angles: 90.00 90.00 90.00
With the nearest neighbours (Å) after each atom.
Fractional positions:
Cl: 0.5000 0.5000 0.5000  8 Ca 3.57, 4 S 3.84
Ca: 0.5000 0.0000 0.0000  2 P 2.72
Ca: 0.0000 0.0000 0.5000  2 P 2.72
S: 0.0000 0.5000 0.0000  2 P 2.32
P: 0.0000 0.0000 0.0000  2 S 2.32

Ca4PS2Cl: relaxed, PBE-GGA.

The energy relative to the elements, uncorrected comes out at -1.904 eV per atom. As for the symmetry: I4/mmm (139). The value obtained for the magnetic moment is 0.0 μB per formula unit.

abc: 5.7442 5.7442 7.1241
angles: 113.78 113.78 90.00
With the nearest neighbours (Å) after each atom.
Fractional positions:
S: 0.6871 0.1871 0.5000  6 Ca 2.88-2.93
S: 0.1871 0.6871 0.5000  6 Ca 2.88-2.93
Ca: 0.7015 0.7015 0.5289  1 P 2.76, 4 S 2.88
Ca: 0.9372 0.4373 0.0000  2 Cl 2.87, 2 P 2.87, 2 S 2.93
Ca: 0.4373 0.9372 0.0000  2 Cl 2.87, 2 P 2.87, 2 S 2.93
Ca: 0.1726 0.1726 0.4711  1 P 2.76, 4 S 2.88
Cl: 0.4372 0.4372 0.0000  6 Ca 2.87-3.10
P: 0.9373 0.9373 0.0000  6 Ca 2.76-2.87

CaP2SCl: relaxed, PBE-GGA.

The energy relative to the elements, uncorrected comes out at 0.892 eV per atom. As for the symmetry: P4/mmm (123). The polymorph energy (0 for the lowest one) is 5.05 eV/f.u. The value obtained for the magnetic moment is 1.1 μB per formula unit.

abc: 5.4811 5.4811 5.0876
angles: 90.00 90.00 90.00
With the nearest neighbours (Å) after each atom.
Fractional positions:
Ca: 0.0000 0.0000 0.0000  2 S 2.54, 4 P 2.74
P: 0.5000 0.0000 0.0000  2 Ca 2.74
P: 0.0000 0.5000 0.0000  2 Ca 2.74
Cl: 0.5000 0.5000 0.5000  8 P 3.74, 4 S 3.88
S: 0.0000 0.0000 0.5000  2 Ca 2.54

Ca6PS3Cl2: relaxed, PBE-GGA.

The energy relative to the elements, uncorrected comes out at -1.913 eV per atom. As for the symmetry: C2/m (12). The value obtained for the magnetic moment is 0.0 μB per formula unit.

abc: 7.0394 7.0394 7.0461
angles: 99.54 99.54 119.92
With the nearest neighbours (Å) after each atom.
Fractional positions:
Cl: 0.3345 0.6655 0.0000  6 Ca 2.97-2.98
Cl: 0.6655 0.3345 0.0000  6 Ca 2.97-2.98
Ca: 0.4036 0.0874 0.2617  3 S 2.78-2.88, 1 P 2.83, 2 Cl 2.97-2.98
Ca: 0.7724 0.7724 0.2633  1 P 2.83, 3 S 2.83-2.93, 2 Cl 2.97
Ca: 0.9126 0.5964 0.7383  3 S 2.78-2.88, 1 P 2.83, 2 Cl 2.97-2.98
Ca: 0.5964 0.9126 0.7383  3 S 2.78-2.88, 1 P 2.83, 2 Cl 2.97-2.98
Ca: 0.0874 0.4036 0.2617  3 S 2.78-2.88, 1 P 2.83, 2 Cl 2.97-2.98
Ca: 0.2276 0.2276 0.7367  1 P 2.83, 3 S 2.83-2.93, 2 Cl 2.97
S: 0.1729 0.8271 0.5000  6 Ca 2.79-2.88
S: 0.5000 0.5000 0.5000  6 Ca 2.78-2.93
S: 0.8271 0.1729 0.5000  6 Ca 2.79-2.88
P: 0.0000 0.0000 0.0000  6 Ca 2.83

CaP2SCl: relaxed, PBE-GGA.

The energy relative to the elements, uncorrected comes out at 0.403 eV per atom. As for the symmetry: P4/mmm (123). The polymorph energy (0 for the lowest one) is 2.61 eV/f.u. The value obtained for the magnetic moment is 0.2 μB per formula unit.

abc: 4.6394 4.6394 5.0361
angles: 90.00 90.00 90.00
With the nearest neighbours (Å) after each atom.
Fractional positions:
Cl: 0.0000 0.0000 0.0000  4 P 2.32, 2 S 2.52
P: 0.5000 0.0000 0.0000  2 Cl 2.32
P: 0.0000 0.5000 0.0000  2 Cl 2.32
Ca: 0.5000 0.5000 0.5000  4 S 3.28, 8 P 3.42
S: 0.0000 0.0000 0.5000  2 Cl 2.52

Ca4PSeCl2: relaxed, PBE-GGA.

The energy relative to the elements, uncorrected comes out at -1.729 eV per atom. As for the symmetry: P2/m (10). The value obtained for the magnetic moment is 0.0 μB per formula unit.

abc: 4.1788 7.1161 7.2587
angles: 70.19 90.00 90.00
With the nearest neighbours (Å) after each atom.
Fractional positions:
Ca: 0.5000 0.2775 0.7295  2 P 2.80, 1 Se 2.91, 3 Cl 2.98-3.08
Ca: 0.5000 0.7225 0.2705  2 P 2.80, 1 Se 2.91, 3 Cl 2.98-3.08
Ca: 0.0000 0.7281 0.7446  1 P 2.78, 2 Se 2.90, 3 Cl 2.99-3.10
Ca: 0.0000 0.2719 0.2554  1 P 2.78, 2 Se 2.90, 3 Cl 2.99-3.10
Cl: 0.0000 0.0000 0.0000  6 Ca 3.08-3.10
Cl: 0.5000 0.0000 0.5000  6 Ca 2.98-2.99
P: 0.0000 0.5000 0.5000  6 Ca 2.78-2.80
Se: 0.5000 0.5000 0.0000  6 Ca 2.90-2.91

Ca6P2SeCl3: relaxed, PBE-GGA.

The energy relative to the elements, uncorrected comes out at -1.711 eV per atom. As for the symmetry: C2/m (12). The value obtained for the magnetic moment is 0.0 μB per formula unit.

abc: 4.1823 8.2940 9.2712
angles: 102.04 103.04 90.00
With the nearest neighbours (Å) after each atom.
Fractional positions:
Ca: 0.0095 0.2465 0.0190  1 P 2.76, 2 Se 2.90, 3 Cl 3.00-3.05
Ca: 0.9905 0.7535 0.9810  1 P 2.76, 2 Se 2.90, 3 Cl 3.00-3.05
Ca: 0.3348 0.8923 0.6697  2 P 2.79, 1 Se 2.93, 3 Cl 3.03-3.08
Ca: 0.6652 0.1077 0.3303  2 P 2.79, 1 Se 2.93, 3 Cl 3.03-3.08
Ca: 0.3252 0.4369 0.6505  3 P 2.82, 3 Cl 3.09-3.11
Ca: 0.6748 0.5631 0.3495  3 P 2.82, 3 Cl 3.09-3.11
Cl: 0.5000 0.5000 0.0000  6 Ca 3.00-3.09
Cl: 0.8366 0.1660 0.6731  6 Ca 3.03-3.11
Cl: 0.1634 0.8340 0.3269  6 Ca 3.03-3.11
P: 0.8340 0.6689 0.6680  6 Ca 2.76-2.82
P: 0.1660 0.3311 0.3320  6 Ca 2.76-2.82
Se: 0.5000 0.0000 0.0000  6 Ca 2.90-2.93

Ca6PSe3Cl2: relaxed, PBE-GGA.

The energy relative to the elements, uncorrected comes out at -1.843 eV per atom. As for the symmetry: C2/m (12). The value obtained for the magnetic moment is 0.0 μB per formula unit.

abc: 7.2228 7.2228 7.1799
angles: 99.56 99.56 119.95
With the nearest neighbours (Å) after each atom.
Fractional positions:
Ca: 0.0841 0.3984 0.2511  1 P 2.84, 3 Se 2.89-2.99, 2 Cl 3.00-3.02
Ca: 0.2280 0.2280 0.7445  1 P 2.84, 3 Se 2.94-3.04, 2 Cl 3.02
Ca: 0.6016 0.9159 0.7489  1 P 2.84, 3 Se 2.89-2.99, 2 Cl 3.00-3.02
Ca: 0.9159 0.6016 0.7489  1 P 2.84, 3 Se 2.89-2.99, 2 Cl 3.00-3.02
Ca: 0.3984 0.0841 0.2511  1 P 2.84, 3 Se 2.89-2.99, 2 Cl 3.00-3.02
Ca: 0.7720 0.7720 0.2555  1 P 2.84, 3 Se 2.94-3.04, 2 Cl 3.02
Se: 0.8259 0.1741 0.5000  6 Ca 2.89-2.99
Se: 0.5000 0.5000 0.5000  6 Ca 2.89-3.04
Se: 0.1741 0.8259 0.5000  6 Ca 2.89-2.99
Cl: 0.3349 0.6651 0.0000  6 Ca 3.00-3.02
Cl: 0.6651 0.3349 0.0000  6 Ca 3.00-3.02
P: 0.0000 0.0000 0.0000  6 Ca 2.84

CaSiPCl2: relaxed, PBE-GGA.

The energy relative to the elements, uncorrected comes out at -0.103 eV per atom. As for the symmetry: P4/mmm (123). The polymorph energy (0 for the lowest one) is 2.55 eV/f.u. The value obtained for the magnetic moment is 1.0 μB per formula unit.

abc: 5.0307 5.0307 5.9629
angles: 90.00 90.00 90.00
With the nearest neighbours (Å) after each atom.
Fractional positions:
Si: 0.5000 0.5000 0.5000  4 P 3.56, 8 Cl 3.90
Cl: 0.5000 0.0000 0.0000  2 Ca 2.52
Cl: 0.0000 0.5000 0.0000  2 Ca 2.52
Ca: 0.0000 0.0000 0.0000  4 Cl 2.52
P: 0.0000 0.0000 0.5000  2 Ca 2.98

CaSiPCl2: relaxed, PBE-GGA.

The energy relative to the elements, uncorrected comes out at -0.613 eV per atom. As for the symmetry: P4/mmm (123). The polymorph energy (0 for the lowest one) is 0.00 eV/f.u. The value obtained for the magnetic moment is 0.0 μB per formula unit.

abc: 4.8541 4.8541 4.7372
angles: 90.00 90.00 90.00
With the nearest neighbours (Å) after each atom.
Fractional positions:
Cl: 0.0000 0.5000 0.0000  2 Si 2.43
Cl: 0.5000 0.0000 0.0000  2 Si 2.43
Ca: 0.5000 0.5000 0.5000  8 Cl 3.39, 4 P 3.43
Si: 0.0000 0.0000 0.0000  2 P 2.37, 4 Cl 2.43
P: 0.0000 0.0000 0.5000  2 Si 2.37

CaSnPCl2: relaxed, PBE-GGA.

The energy relative to the elements, uncorrected comes out at -0.618 eV per atom. As for the symmetry: P4/mmm (123). The polymorph energy (0 for the lowest one) is 0.00 eV/f.u. The value obtained for the magnetic moment is 0.0 μB per formula unit.

abc: 5.2558 5.2558 5.1870
angles: 90.00 90.00 90.00
With the nearest neighbours (Å) after each atom.
Fractional positions:
Cl: 0.0000 0.5000 0.0000  2 Sn 2.63
Cl: 0.5000 0.0000 0.0000  2 Sn 2.63
P: 0.0000 0.0000 0.5000  2 Sn 2.59
Sn: 0.0000 0.0000 0.0000  2 P 2.59, 4 Cl 2.63
Ca: 0.5000 0.5000 0.5000  8 Cl 3.69, 4 P 3.72